! Al2ZnAg (GGA-PBEsol, relaxed); values from VASP
&SYSTEM
  ibrav = 0, nat = 4, ntyp = 3
/
ATOMIC_SPECIES
Al 26.98 Al.upf
Zn 65.41 Zn.upf
Ag 107.87 Ag.upf
CELL_PARAMETERS angstrom
-1.9852 1.9852 4.0186
1.9852 -1.9852 4.0186
1.9852 1.9852 -4.0186
ATOMIC_POSITIONS angstrom
Al 0.0000 0.0000 0.0000
Al 0.0000 1.9852 2.0093
Zn 0.0000 0.0000 4.0186
Ag 1.9852 0.0000 2.0093
! Density of states at the Fermi level = 1.2 states/eV per cell
! Magnetic moment = 0.00 μB/cell
! Mass density = 6.0 g/cm3
! Calculated volume = 15.84 A^3/atom
! Formation enthalpy at 0 K = 1 kJ/mol of atoms



! AlZn2Ag (GGA-PBEsol, relaxed); values from VASP
&SYSTEM
  ibrav = 0, nat = 4, ntyp = 3
/
ATOMIC_SPECIES
Al 26.98 Al.upf
Zn 65.41 Zn.upf
Ag 107.87 Ag.upf
CELL_PARAMETERS angstrom
3.3640 0.0000 0.0000
0.0000 3.3640 0.0000
0.0000 0.0000 5.4158
ATOMIC_POSITIONS angstrom
Al 0.0000 0.0000 0.0000
Zn 0.0000 0.0000 2.6307
Zn 1.6820 1.6820 1.3721
Ag 1.6820 1.6820 4.0627
! Density of states at the Fermi level = 1.3 states/eV per cell
! Magnetic moment = 0.00 μB/cell
! Mass density = 7.2 g/cm3
! Calculated volume = 15.32 A^3/atom
! Formation enthalpy at 0 K = -1 kJ/mol of atoms



! AlZn2Ag (GGA-PBEsol, relaxed); values from VASP
&SYSTEM
  ibrav = 0, nat = 4, ntyp = 3
/
ATOMIC_SPECIES
Al 26.98 Al.upf
Zn 65.41 Zn.upf
Ag 107.87 Ag.upf
CELL_PARAMETERS angstrom
1.3762 -2.4671 0.0000
1.3762 2.4671 0.0000
0.0000 0.0000 9.1820
ATOMIC_POSITIONS angstrom
Al 0.0000 0.0000 0.0000
Zn 0.0000 0.0000 4.5132
Zn 1.3762 0.0000 2.3003
Ag 1.3762 0.0000 6.8296
! Density of states at the Fermi level = 1.2 states/eV per cell
! Magnetic moment = 0.00 μB/cell
! Mass density = 7.1 g/cm3
! Calculated volume = 15.59 A^3/atom
! Formation enthalpy at 0 K = 4 kJ/mol of atoms



! AlZn2Ag (GGA-PBEsol, relaxed); values from VASP
&SYSTEM
  ibrav = 0, nat = 4, ntyp = 3
/
ATOMIC_SPECIES
Al 26.98 Al.upf
Zn 65.41 Zn.upf
Ag 107.87 Ag.upf
CELL_PARAMETERS angstrom
-1.3754 2.2935 4.9049
1.3754 -2.2935 4.9049
1.3754 2.2935 -4.9049
ATOMIC_POSITIONS angstrom
Al 0.0000 0.0000 0.0000
Zn 1.3754 0.0000 2.4849
Zn 0.0000 2.2935 2.4200
Ag 0.0000 0.0000 4.9049
! Density of states at the Fermi level = 1.0 states/eV per cell
! Magnetic moment = 0.00 μB/cell
! Mass density = 7.1 g/cm3
! Calculated volume = 15.47 A^3/atom
! Formation enthalpy at 0 K = 2 kJ/mol of atoms



! AlZnAg2 (GGA-PBEsol, relaxed); values from VASP
&SYSTEM
  ibrav = 0, nat = 4, ntyp = 3
/
ATOMIC_SPECIES
Al 26.98 Al.upf
Zn 65.41 Zn.upf
Ag 107.87 Ag.upf
CELL_PARAMETERS angstrom
1.6005 -2.2883 0.0000
1.6005 2.2883 0.0000
0.0000 0.0000 8.5896
ATOMIC_POSITIONS angstrom
Al 0.0000 0.0000 0.0000
Zn 0.0000 0.0000 4.2948
Ag 1.6005 0.0000 2.1528
Ag 1.6005 0.0000 6.4368
! Density of states at the Fermi level = 0.9 states/eV per cell
! Magnetic moment = 0.00 μB/cell
! Mass density = 8.1 g/cm3
! Calculated volume = 15.73 A^3/atom
! Formation enthalpy at 0 K = -2 kJ/mol of atoms



! AlZnAg (GGA-PBEsol, relaxed); values from VASP
&SYSTEM
  ibrav = 0, nat = 3, ntyp = 3
/
ATOMIC_SPECIES
Al 26.98 Al.upf
Zn 65.41 Zn.upf
Ag 107.87 Ag.upf
CELL_PARAMETERS angstrom
0.0000 2.3705 6.5366
1.5234 0.0000 6.5366
1.5234 2.3705 0.0000
ATOMIC_POSITIONS angstrom
Al 0.0000 0.0000 0.0000
Zn 1.5234 2.3705 8.6638
Ag 1.5234 2.3705 4.3139
! Density of states at the Fermi level = 0.8 states/eV per cell
! Magnetic moment = 0.00 μB/cell
! Mass density = 7.0 g/cm3
! Calculated volume = 15.74 A^3/atom
! Energy above the most stable polymorph in this dataset = 0.24 eV/f.u.
! Formation enthalpy at 0 K = 3 kJ/mol of atoms



! Al2ZnAg (GGA-PBEsol, relaxed); values from VASP
&SYSTEM
  ibrav = 0, nat = 4, ntyp = 3
/
ATOMIC_SPECIES
Al 26.98 Al.upf
Zn 65.41 Zn.upf
Ag 107.87 Ag.upf
CELL_PARAMETERS angstrom
2.5168 -1.4534 0.0000
2.5168 1.4534 0.0000
-1.7447 0.0000 8.5902
ATOMIC_POSITIONS angstrom
Al 0.0000 0.0000 0.0000
Al -0.0500 0.0000 6.3850
Zn 1.6442 0.0000 4.2966
Ag 3.3412 0.0000 2.1474
! Density of states at the Fermi level = 1.0 states/eV per cell
! Magnetic moment = 0.00 μB/cell
! Mass density = 6.0 g/cm3
! Calculated volume = 15.71 A^3/atom
! Formation enthalpy at 0 K = -4 kJ/mol of atoms



! AlZn2Ag (GGA-PBEsol, relaxed); values from VASP
&SYSTEM
  ibrav = 0, nat = 4, ntyp = 3
/
ATOMIC_SPECIES
Al 26.98 Al.upf
Zn 65.41 Zn.upf
Ag 107.87 Ag.upf
CELL_PARAMETERS angstrom
1.5459 -2.3181 0.0000
1.5459 2.3181 0.0000
0.0000 0.0000 8.6420
ATOMIC_POSITIONS angstrom
Al 0.0000 0.0000 0.0000
Zn 1.5459 0.0000 2.1539
Zn 1.5459 0.0000 6.4881
Ag 0.0000 0.0000 4.3210
! Density of states at the Fermi level = 1.3 states/eV per cell
! Magnetic moment = 0.00 μB/cell
! Mass density = 7.1 g/cm3
! Calculated volume = 15.48 A^3/atom
! Formation enthalpy at 0 K = 5 kJ/mol of atoms



! AlZnAg2 (GGA-PBEsol, relaxed); values from VASP
&SYSTEM
  ibrav = 0, nat = 4, ntyp = 3
/
ATOMIC_SPECIES
Al 26.98 Al.upf
Zn 65.41 Zn.upf
Ag 107.87 Ag.upf
CELL_PARAMETERS angstrom
-1.5633 2.2924 4.3595
1.5633 -2.2924 4.3595
1.5633 2.2924 -4.3595
ATOMIC_POSITIONS angstrom
Al 0.0000 0.0000 0.0000
Zn 0.0000 0.0000 4.3595
Ag 1.5633 0.0000 2.1881
Ag 0.0000 2.2924 2.1714
! Density of states at the Fermi level = 0.9 states/eV per cell
! Magnetic moment = 0.00 μB/cell
! Mass density = 8.2 g/cm3
! Calculated volume = 15.62 A^3/atom
! Formation enthalpy at 0 K = -3 kJ/mol of atoms



! ZrAl2Ag (GGA-PBEsol, relaxed); values from VASP
&SYSTEM
  ibrav = 0, nat = 4, ntyp = 3
/
ATOMIC_SPECIES
Zr 91.22 Zr.upf
Al 26.98 Al.upf
Ag 107.87 Ag.upf
CELL_PARAMETERS angstrom
4.1827 0.0000 0.0000
0.0000 4.1827 0.0000
0.0000 0.0000 3.9471
ATOMIC_POSITIONS angstrom
Zr 0.0000 0.0000 0.0000
Al 0.0000 2.0914 1.9736
Al 2.0914 0.0000 1.9736
Ag 2.0914 2.0914 0.0000
! Density of states at the Fermi level = 1.7 states/eV per cell
! Magnetic moment = 0.00 μB/cell
! Mass density = 6.1 g/cm3
! Calculated volume = 17.26 A^3/atom
! Energy above the most stable polymorph in this dataset = 0.00 eV/f.u.
! Formation enthalpy at 0 K = -39 kJ/mol of atoms



! Zr2AlAg (GGA-PBEsol, relaxed); values from VASP
&SYSTEM
  ibrav = 0, nat = 4, ntyp = 3
/
ATOMIC_SPECIES
Zr 91.22 Zr.upf
Al 26.98 Al.upf
Ag 107.87 Ag.upf
CELL_PARAMETERS angstrom
3.0126 0.0000 0.0000
0.0000 4.9134 0.0000
0.0000 0.0000 5.1200
ATOMIC_POSITIONS angstrom
Zr 0.0000 0.0000 0.0000
Zr 0.0000 2.4567 1.9555
Al 1.5063 0.0000 2.5507
Ag 1.5063 2.4567 4.3927
! Density of states at the Fermi level = 3.1 states/eV per cell
! Magnetic moment = 0.00 μB/cell
! Mass density = 7.0 g/cm3
! Calculated volume = 18.95 A^3/atom
! Formation enthalpy at 0 K = -23 kJ/mol of atoms



! Zr2AlAg (GGA-PBEsol, relaxed); values from VASP
&SYSTEM
  ibrav = 0, nat = 4, ntyp = 3
/
ATOMIC_SPECIES
Zr 91.22 Zr.upf
Al 26.98 Al.upf
Ag 107.87 Ag.upf
CELL_PARAMETERS angstrom
-1.5742 2.4851 4.8619
1.5742 -2.4851 4.8619
1.5742 2.4851 -4.8619
ATOMIC_POSITIONS angstrom
Zr 0.0000 0.0000 0.0000
Zr 0.0000 2.4851 2.2845
Al 0.0000 0.0000 4.5983
Ag 1.5742 0.0000 2.5300
! Density of states at the Fermi level = 3.3 states/eV per cell
! Magnetic moment = 0.00 μB/cell
! Mass density = 6.9 g/cm3
! Calculated volume = 19.02 A^3/atom
! Formation enthalpy at 0 K = -23 kJ/mol of atoms